A relaxed structure of SbPt2W, computed with PBE.

Geometry as extended XYZ:
```
4
Lattice="2.944 0.000 0.000 0.000 3.812 0.000 0.000 0.000 6.243" Properties=species:S:1:pos:R:3 pbc="T T T"
Sb 0.000 0.000 0.000
Pt 0.000 0.000 3.094
Pt 1.472 1.906 4.644
W 1.472 1.906 1.840
```

## Properties
- formation energy (no corrections) (eV per formula unit) = 0.40
- space group = Pmm2 (25)
- magnetization (μB per cell) = 0.00
- V (Å³ per atom) = 17.51
- E_tot (eV per atom) = -7.19